# CaGaHgRh2 | the Alexandria database | PBE-GGA | relaxed
# E_form (eV/atom): 0.198
data_CaGaHgRh2
_chemical_formula_sum 'Ca1 Ga1 Hg1 Rh2'
_symmetry_space_group_name_H-M 'P 4/m m m'
_symmetry_Int_Tables_number 123
_symmetry_space_group_name_Hall '-P 4 2'
_cell_length_a 4.635
_cell_length_b 4.635
_cell_length_c 5.223
_cell_angle_alpha 90.00
_cell_angle_beta 90.00
_cell_angle_gamma 90.00
loop_
_atom_site_label
_atom_site_fract_x
_atom_site_fract_y
_atom_site_fract_z
Ca1 0.000 0.000 0.000
Ga1 0.000 0.000 0.500
Hg1 0.500 0.500 0.000
Rh1 0.000 0.500 0.500